[1]
Compound: LuB2C2
Source: Alexandria via LeMat-Bulk
Functional: PBE
Structure: optimized geometry

Properties
V ... 9.73 A^3/atom
Fermi-level density of states ... 0.1675 states/eV/atom
Magnetization ... 0.0 μB per formula unit
Energy relative to the elements ... -2.14 eV/f.u.
Final energy ... -76.93 eV/cell

Unit cell a=5.321 b=5.321 c=3.438 alpha=90.00 beta=90.00 gamma=90.00
Space group P4/mbm (No. 127)
Asymmetric unit:
Lu 0.000 0.000 0.000 (multiplicity 2)
B 0.136 0.364 0.500 (multiplicity 4)
C 0.163 0.663 0.500 (multiplicity 4)

=====

[2]
Compound: Lu3BC3
Source: Alexandria via LeMat-Bulk
Functional: PBE
Structure: optimized geometry

Properties
V ... 14.02 A^3/atom
Fermi-level density of states ... 0.1378 states/eV/atom
Magnetization ... 0.0 μB per formula unit
Energy relative to the elements ... -3.51 eV/f.u.
Final energy ... -205.67 eV/cell

Unit cell a=4.980 b=5.011 c=15.725 alpha=90.00 beta=90.00 gamma=90.00
Space group Cmcm (No. 63)
Asymmetric unit:
Lu 0.000 0.080 0.104 (multiplicity 8)
Lu 0.000 0.414 0.750 (multiplicity 4)
B 0.000 0.500 0.000 (multiplicity 4)
C 0.000 0.093 0.250 (multiplicity 4)
C 0.000 0.409 0.588 (multiplicity 8)

=====

[3]
Compound: LuBC
Source: Alexandria via LeMat-Bulk
Functional: PBE
Structure: optimized geometry

Properties
V ... 10.96 A^3/atom
Fermi-level density of states ... 0.5403 states/eV/atom
Polymorph energy (0 for the lowest one) ... 1418 meV/atom
Magnetization ... 0.0 μB per formula unit
Energy relative to the elements ... 3.04 eV/f.u.
Final energy ... -34.76 eV/cell

Unit cell a=2.777 b=2.777 c=8.530 alpha=90.00 beta=90.00 gamma=90.00
Space group I4mm (No. 107)
Asymmetric unit:
Lu 0.000 0.000 0.000 (multiplicity 2)
B 0.000 0.000 0.714 (multiplicity 2)
C 0.000 0.000 0.281 (multiplicity 2)

=====

[4]
Compound: LuBC
Source: Alexandria via LeMat-Bulk
Functional: PBE
Structure: optimized geometry

Properties
V ... 10.02 A^3/atom
Fermi-level density of states ... 0.0369 states/eV/atom
Polymorph energy (0 for the lowest one) ... 0 meV/atom
Magnetization ... 0.0 μB per formula unit
Energy relative to the elements ... -1.21 eV/f.u.
Final energy ... -21.63 eV/cell

Unit cell a=2.9934 b=2.9934 c=3.8733 alpha=90.00 beta=90.00 gamma=120.00
Space group P-6m2 (No. 187)
Asymmetric unit:
Lu 0.0000 0.0000 0.0000 (multiplicity 1)
B 0.3333 0.6667 0.5000 (multiplicity 1)
C 0.6667 0.3333 0.5000 (multiplicity 1)

=====

[5]
Compound: MgBC3
Source: Alexandria via LeMat-Bulk
Functional: PBE
Structure: optimized geometry

Properties
V ... 8.66 A^3/atom
Fermi-level density of states ... 0.3743 states/eV/atom
Polymorph energy (0 for the lowest one) ... 0 meV/atom
Magnetization ... 0.0 μB per formula unit
Energy relative to the elements ... 10.17 eV/f.u.
Final energy ... -25.78 eV/cell

Unit cell a=3.512 b=3.512 c=3.512 alpha=90.00 beta=90.00 gamma=90.00
Space group Pm-3m (No. 221)
Asymmetric unit:
Mg 0.000 0.000 0.000 (multiplicity 1)
B 0.500 0.500 0.500 (multiplicity 1)
C 0.000 0.500 0.500 (multiplicity 3)

=====

[6]
Compound: MgB2C
Source: Alexandria via LeMat-Bulk
Functional: PBE
Structure: optimized geometry

Properties
V ... 9.83 A^3/atom
Fermi-level density of states ... 0.5419 states/eV/atom
Magnetization ... 0.0 μB per formula unit
Energy relative to the elements ... 8.91 eV/f.u.
Final energy ... -61.07 eV/cell

Unit cell a=5.398 b=5.398 c=5.398 alpha=90.00 beta=90.00 gamma=90.00
Space group Fm-3m (No. 225)
Asymmetric unit:
Mg 0.000 0.000 0.000 (multiplicity 4)
B 0.250 0.250 0.250 (multiplicity 8)
C 0.000 0.000 0.500 (multiplicity 4)

=====

[7]
Compound: Mg14BC
Source: Alexandria via LeMat-Bulk
Functional: PBE
Structure: optimized geometry

Properties
V ... 19.85 A^3/atom
Fermi-level density of states ... 0.3533 states/eV/atom
Polymorph energy (0 for the lowest one) ... 179 meV/atom
Magnetization ... 0.0 μB per formula unit
Energy relative to the elements ... 7.20 eV/f.u.
Final energy ... -31.03 eV/cell

Unit cell a=6.1908 b=6.1908 c=9.5688 alpha=90.00 beta=90.00 gamma=120.00
Space group P-6m2 (No. 187)
Asymmetric unit:
Mg 0.0000 0.0000 0.2503 (multiplicity 2)
Mg 0.0173 0.5086 0.2469 (multiplicity 6)
Mg 0.3316 0.1658 0.0000 (multiplicity 3)
Mg 0.3343 0.1671 0.5000 (multiplicity 3)
B 0.3333 0.6667 0.5000 (multiplicity 1)
C 0.3333 0.6667 0.0000 (multiplicity 1)

=====

[8]
Compound: MgB3C
Source: Alexandria via LeMat-Bulk
Functional: PBE
Structure: optimized geometry

Properties
V ... 9.23 A^3/atom
Fermi-level density of states ... 0.3356 states/eV/atom
Polymorph energy (0 for the lowest one) ... 1346 meV/atom
Magnetization ... 0.0 μB per formula unit
Energy relative to the elements ... 8.57 eV/f.u.
Final energy ... -22.28 eV/cell

Unit cell a=3.587 b=3.587 c=3.587 alpha=90.00 beta=90.00 gamma=90.00
Space group Pm-3m (No. 221)
Asymmetric unit:
Mg 0.000 0.000 0.000 (multiplicity 1)
B 0.000 0.500 0.500 (multiplicity 3)
C 0.500 0.500 0.500 (multiplicity 1)